LiSmAl | PBE | relaxed

Lattice parameters (Å, degrees): 4.916 4.916 3.271 90.00 90.00 120.00
Sites, in units of the cell vectors:
Li 0.000 0.000 0.000
Sm 0.333 0.667 0.498
Al 0.667 0.333 0.998

Computed properties:
E_form (eV/atom): -0.198
Total moment (μB/f.u.): 0.00
Symmetry: No. 156
Relative energy among the computed polymorphs (meV/atom): 0.0

---

La2ReTc | PBE | relaxed

Lattice parameters (Å, degrees): 5.038 5.038 5.038 60.00 60.00 60.00
Sites, in units of the cell vectors:
La 0.250 0.250 0.250
La 0.750 0.750 0.750
Re 0.000 0.000 0.000
Tc 0.500 0.500 0.500

Computed properties:
E_form (eV/atom): 0.600
Total moment (μB/f.u.): 0.00
Symmetry: No. 225
Relative energy among the computed polymorphs (meV/atom): 452.2

---

CsB2H4 | PBE | relaxed

Lattice parameters (Å, degrees): 5.241 5.241 3.554 100.69 100.69 87.35
Sites, in units of the cell vectors:
Cs 0.000 0.000 0.000
B 0.412 0.412 0.806
B 0.588 0.588 0.194
H 0.187 0.466 0.677
H 0.466 0.187 0.677
H 0.534 0.813 0.323
H 0.813 0.534 0.323

Computed properties:
Total moment (μB/f.u.): 0.00
Symmetry: No. 12
Relative energy among the computed polymorphs (meV/atom): 0.0

---

CaInAu3 | PBE | relaxed

Lattice parameters (Å, degrees): 9.652 4.854 9.367 90.00 90.00 90.00
Sites, in units of the cell vectors:
Ca 0.221 0.250 0.010
Ca 0.279 0.750 0.510
Ca 0.721 0.250 0.490
Ca 0.779 0.750 0.990
In 0.078 0.250 0.354
In 0.422 0.750 0.854
In 0.578 0.250 0.146
In 0.922 0.750 0.646
Au 0.083 0.750 0.150
Au 0.124 0.250 0.648
Au 0.129 0.750 0.845
Au 0.371 0.250 0.345
Au 0.376 0.750 0.148
Au 0.417 0.250 0.650
Au 0.583 0.750 0.350
Au 0.624 0.250 0.852
Au 0.629 0.750 0.655
Au 0.871 0.250 0.155
Au 0.876 0.750 0.352
Au 0.917 0.250 0.850

Computed properties:
E_form (eV/atom): -0.488
Total moment (μB/f.u.): 0.00
Symmetry: No. 62

---

AcIn6Pd3 | PBE | relaxed

Lattice parameters (Å, degrees): 10.189 4.508 10.420 90.00 96.14 90.00
Sites, in units of the cell vectors:
Ac 0.092 0.250 0.234
Ac 0.908 0.750 0.766
In 0.120 0.750 0.490
In 0.147 0.250 0.924
In 0.272 0.750 0.762
In 0.350 0.750 0.300
In 0.353 0.250 0.556
In 0.447 0.250 0.086
In 0.553 0.750 0.914
In 0.647 0.750 0.444
In 0.650 0.250 0.700
In 0.728 0.250 0.238
In 0.853 0.750 0.076
In 0.880 0.250 0.510
Pd 0.119 0.250 0.657
Pd 0.286 0.750 0.031
Pd 0.497 0.250 0.354
Pd 0.503 0.750 0.646
Pd 0.714 0.250 0.969
Pd 0.881 0.750 0.343

Computed properties:
E_form (eV/atom): -0.469
Total moment (μB/f.u.): 0.00
Symmetry: No. 11

---

Ag2PtAu | PBE | relaxed

Lattice parameters (Å, degrees): 2.829 4.874 5.032 90.00 92.92 90.00
Sites, in units of the cell vectors:
Ag 0.249 0.000 0.253
Ag 0.751 0.000 0.747
Pt 0.000 0.500 0.500
Au 0.500 0.500 0.000

Computed properties:
E_form (eV/atom): 0.023
Total moment (μB/f.u.): 0.00
Symmetry: No. 10
Relative energy among the computed polymorphs (meV/atom): 42.7

---

Hg2MoPb | PBE | relaxed

Lattice parameters (Å, degrees): 3.062 3.062 9.580 90.00 90.00 90.68
Sites, in units of the cell vectors:
Hg 0.000 0.000 0.211
Hg 0.000 0.000 0.789
Mo 0.500 0.500 0.000
Pb 0.500 0.500 0.500

Computed properties:
E_form (eV/atom): 0.531
Total moment (μB/f.u.): 0.00
Symmetry: No. 65

---

SiHg2As | PBE | relaxed

Lattice parameters (Å, degrees): 3.463 3.463 7.930 90.00 90.00 90.00
Sites, in units of the cell vectors:
Si 0.000 0.000 0.000
Hg 0.000 0.000 0.324
Hg 0.500 0.500 0.563
As 0.500 0.500 0.913

Computed properties:
Total moment (μB/f.u.): 0.00
Symmetry: No. 99
Relative energy among the computed polymorphs (meV/atom): 67.8

---

Dy3HfTl4Se8 | PBE | relaxed

Lattice parameters (Å, degrees): 9.218 9.218 9.218 52.62 52.62 52.62
Sites, in units of the cell vectors:
Dy 0.000 0.500 0.500
Dy 0.500 0.000 0.500
Dy 0.500 0.500 0.000
Hf 0.000 0.000 0.000
Tl 0.000 0.000 0.500
Tl 0.000 0.500 0.000
Tl 0.500 0.000 0.000
Tl 0.500 0.500 0.500
Se 0.224 0.224 0.750
Se 0.224 0.750 0.224
Se 0.250 0.776 0.776
Se 0.265 0.265 0.265
Se 0.735 0.735 0.735
Se 0.750 0.224 0.224
Se 0.776 0.250 0.776
Se 0.776 0.776 0.250

Computed properties:
Total energy (eV/atom): -5.068
Total moment (μB/f.u.): 0.00
Symmetry: No. 166

---

Tc2Cl3F | PBE | relaxed

Lattice parameters (Å, degrees): 8.461 8.461 11.420 104.22 104.22 21.03
Sites, in units of the cell vectors:
Tc 0.069 0.069 0.065
Tc 0.388 0.388 0.752
Tc 0.612 0.612 0.248
Tc 0.931 0.931 0.935
Cl 0.252 0.252 0.734
Cl 0.366 0.366 0.041
Cl 0.390 0.390 0.554
Cl 0.610 0.610 0.446
Cl 0.634 0.634 0.959
Cl 0.748 0.748 0.266
F 0.013 0.013 0.225
F 0.987 0.987 0.775

Computed properties:
Total energy (eV/atom): -5.183
Total moment (μB/f.u.): 0.50
Symmetry: No. 12

---

MgSe | PBE | relaxed

Lattice parameters (Å, degrees): 13.355 13.355 13.355 18.60 18.60 18.60
Sites, in units of the cell vectors:
Mg 0.092 0.092 0.092
Mg 0.908 0.908 0.908
Se 0.426 0.426 0.426
Se 0.574 0.574 0.574

Computed properties:
Total energy (eV/atom): -3.481
Total moment (μB/f.u.): 0.00
Symmetry: No. 166

---

BeZn3Br | PBE | relaxed

Lattice parameters (Å, degrees): 4.613 4.613 4.613 90.00 90.00 90.00
Sites, in units of the cell vectors:
Be 0.000 0.000 0.000
Zn 0.000 0.000 0.500
Zn 0.000 0.500 0.000
Zn 0.500 0.000 0.000
Br 0.500 0.500 0.500

Computed properties:
Total moment (μB/f.u.): 0.00
Symmetry: No. 221
Relative energy among the computed polymorphs (meV/atom): 0.0

---

HoCu2F6 | PBE | relaxed

Lattice parameters (Å, degrees): 5.877 5.877 7.199 124.37 124.37 39.32
Sites, in units of the cell vectors:
Ho 0.000 0.000 0.000
Cu 0.181 0.181 0.639
Cu 0.819 0.819 0.361
F 0.002 0.002 0.308
F 0.256 0.256 0.323
F 0.376 0.376 0.962
F 0.624 0.624 0.038
F 0.744 0.744 0.677
F 0.998 0.998 0.692

Computed properties:
Total energy (eV/atom): -5.215
Total moment (μB/f.u.): 1.00
Symmetry: No. 12

---

Nd2Zn2Pt5Rh | PBE | relaxed

Lattice parameters (Å, degrees): 9.587 9.587 3.917 90.00 90.00 90.00
Sites, in units of the cell vectors:
Nd 0.181 0.319 0.000
Nd 0.319 0.819 0.000
Nd 0.681 0.181 0.000
Nd 0.819 0.681 0.000
Zn 0.118 0.618 0.000
Zn 0.382 0.118 0.000
Zn 0.618 0.882 0.000
Zn 0.882 0.382 0.000
Pt 0.000 0.500 0.500
Pt 0.062 0.795 0.500
Pt 0.205 0.062 0.500
Pt 0.295 0.562 0.500
Pt 0.438 0.295 0.500
Pt 0.500 0.000 0.500
Pt 0.562 0.705 0.500
Pt 0.705 0.438 0.500
Pt 0.795 0.938 0.500
Pt 0.938 0.205 0.500
Rh 0.000 0.000 0.000
Rh 0.500 0.500 0.000

Computed properties:
E_form (eV/atom): -0.669
Total moment (μB/f.u.): 0.00
Symmetry: No. 127

---

TmZnRu | PBE | relaxed

Lattice parameters (Å, degrees): 5.616 5.616 5.616 128.27 93.51 108.62
Sites, in units of the cell vectors:
Tm 0.000 0.000 0.000
Tm 0.500 0.000 0.500
Zn 0.361 0.611 0.750
Zn 0.639 0.389 0.250
Ru 0.000 0.000 0.500
Ru 0.000 0.500 0.000

Computed properties:
E_form (eV/atom): -0.160
Total moment (μB/f.u.): 0.00
Symmetry: No. 74

---

CeHo12Th5 | PBE | relaxed

Lattice parameters (Å, degrees): 10.616 10.616 6.147 106.64 106.64 59.74
Sites, in units of the cell vectors:
Ce 0.000 0.000 0.000
Ho 0.002 0.332 0.336
Ho 0.165 0.835 0.500
Ho 0.168 0.499 0.166
Ho 0.332 0.002 0.336
Ho 0.335 0.665 0.000
Ho 0.499 0.168 0.166
Ho 0.501 0.832 0.834
Ho 0.665 0.335 0.000
Ho 0.668 0.998 0.664
Ho 0.832 0.501 0.834
Ho 0.835 0.165 0.500
Ho 0.998 0.668 0.664
Th 0.166 0.166 0.834
Th 0.333 0.333 0.667
Th 0.500 0.500 0.500
Th 0.667 0.667 0.333
Th 0.834 0.834 0.166

Computed properties:
E_form (eV/atom): 0.054
Total moment (μB/f.u.): 1.20
Symmetry: No. 12

---

Mg3Np3TcN8 | PBE | relaxed

Lattice parameters (Å, degrees): 6.436 6.436 6.436 60.67 60.67 60.67
Sites, in units of the cell vectors:
Mg 0.000 0.500 0.500
Mg 0.500 0.000 0.500
Mg 0.500 0.500 0.000
Np 0.000 0.000 0.500
Np 0.000 0.500 0.000
Np 0.500 0.000 0.000
Tc 0.500 0.500 0.500
N 0.253 0.253 0.253
N 0.253 0.736 0.736
N 0.264 0.264 0.747
N 0.264 0.747 0.264
N 0.736 0.253 0.736
N 0.736 0.736 0.253
N 0.747 0.264 0.264
N 0.747 0.747 0.747

Computed properties:
Total energy (eV/atom): -8.790
Total moment (μB/f.u.): 3.95
Symmetry: No. 166

---

Nb6V2Tc | PBE | relaxed

Lattice parameters (Å, degrees): 7.483 7.483 7.483 145.86 131.64 60.52
Sites, in units of the cell vectors:
Nb 0.080 0.332 0.748
Nb 0.244 0.000 0.244
Nb 0.415 0.668 0.748
Nb 0.585 0.332 0.252
Nb 0.756 0.000 0.756
Nb 0.920 0.668 0.252
V 0.166 0.166 0.000
V 0.834 0.834 0.000
Tc 0.500 0.500 0.000

Computed properties:
E_form (eV/atom): 0.571
Total moment (μB/f.u.): 0.00
Symmetry: No. 71
Relative energy among the computed polymorphs (meV/atom): 510.9

---

ZrSc4Cu | PBE | relaxed

Lattice parameters (Å, degrees): 3.219 3.219 12.789 90.00 90.00 90.00
Sites, in units of the cell vectors:
Zr 0.000 0.000 0.000
Sc 0.000 0.000 0.372
Sc 0.000 0.000 0.628
Sc 0.500 0.500 0.174
Sc 0.500 0.500 0.826
Cu 0.500 0.500 0.500

Computed properties:
E_form (eV/atom): -0.070
Total moment (μB/f.u.): 0.00
Symmetry: No. 123
Relative energy among the computed polymorphs (meV/atom): 0.0

---

SrRe2As | PBE | relaxed

Lattice parameters (Å, degrees): 9.211 9.211 9.211 19.31 19.31 19.31
Sites, in units of the cell vectors:
Sr 0.000 0.000 0.000
Re 0.234 0.234 0.234
Re 0.766 0.766 0.766
As 0.500 0.500 0.500

Computed properties:
E_form (eV/atom): 0.884
Total moment (μB/f.u.): 0.00
Symmetry: No. 166